Compound: ZrTc
Source: the Alexandria database
Functional: PBE-GGA
Structure: optimized geometry

Energy relative to the elements (eV per atom): -0.222
Mass density (kg/m³): 8717
Uncorrected energy (hartree per atom): -0.3557

a = 5.560 Å, b = 5.560 Å, c = 6.553 Å
α = 72.74°, β = 72.74°, γ = 34.17°
Positions (direct):
1 Zr 0.696 0.696 0.618
2 Zr 0.011 0.011 0.450
3 Zr 0.706 0.706 0.100
4 Tc 0.020 0.020 0.949
5 Tc 0.367 0.367 0.783
6 Tc 0.367 0.367 0.267